No. 1
Here is a PBEsol-optimized structure of KBeCu2 from the Alexandria database. Energies are from meta-GGA SCAN.

Unit cell a=2.623 b=3.553 c=7.131 alpha=90.00 beta=90.00 gamma=90.00
Element x y z (fractional)
Cu 0.000 0.000 0.975
Cu 0.500 0.500 0.161
Be 0.500 0.500 0.862
K 0.000 0.000 0.502

Output
Space-group type: Pmm2
Total energy: -10.334 eV/atom
Crystal system: orthorhombic
Density of states at the Fermi level: 0.3829 states/eV per atom
Magnetization: 0.000 μB per formula unit


No. 2
Here is a PBEsol-optimized structure of Y2MgCu9 from the Alexandria database. Energies are from meta-GGA SCAN.

Unit cell a=4.993 b=4.993 c=8.623 alpha=73.17 beta=73.17 gamma=60.00
Element x y z (fractional)
Cu 0.920 0.418 0.244
Mg 0.000 0.000 0.000
Cu 0.080 0.582 0.756
Cu 0.500 0.500 0.500
Y 0.863 0.863 0.411
Cu 0.582 0.080 0.756
Cu 0.667 0.667 0.999
Y 0.137 0.137 0.589
Cu 0.418 0.920 0.244
Cu 0.582 0.582 0.756
Cu 0.333 0.333 0.001
Cu 0.418 0.418 0.244

Output
Space-group type: R-3m
Total energy: -16.611 eV/atom
Crystal system: trigonal
Density of states at the Fermi level: 0.4396 states/eV per atom
Magnetization: 0.000 μB per formula unit


No. 3
Here is a PBEsol-optimized structure of CaPt4Pb from the Alexandria database. Energies are from meta-GGA SCAN.

Unit cell a=5.376 b=5.376 c=5.376 alpha=60.00 beta=60.00 gamma=60.00
Element x y z (fractional)
Pb 0.000 0.000 0.000
Pt 0.375 0.375 0.875
Pt 0.875 0.375 0.375
Pt 0.375 0.375 0.375
Ca 0.750 0.750 0.750
Pt 0.375 0.875 0.375

Output
Space-group type: F-43m
Total energy: -61.683 eV/atom
Crystal system: cubic
Density of states at the Fermi level: 0.5252 states/eV per atom
Magnetization: 0.000 μB per formula unit


No. 4
Here is a PBEsol-optimized structure of Li3SbMo from the Alexandria database. Energies are from meta-GGA SCAN.

Unit cell a=5.049 b=5.049 c=5.049 alpha=90.00 beta=90.00 gamma=90.00
Each line ends with the local moment (μB).
Element x y z (fractional)
Sb 0.000 0.000 0.000  0.09
Li 0.000 0.500 0.000  0.01
Li 0.500 0.000 0.000  0.01
Li 0.000 0.000 0.500  0.01
Mo 0.500 0.500 0.500  4.41

Output
Space-group type: Pm-3m
Total energy: -15.262 eV/atom
Formation energy from raw total energies: 290 kJ/mol of formula units
Crystal system: cubic
Density of states at the Fermi level: 0.1748 states/eV per atom
Magnetization: 5.921 μB per formula unit


No. 5
Here is a PBEsol-optimized structure of PrNiSnH2 from the Alexandria database. Energies are from meta-GGA SCAN.

Unit cell a=4.342 b=4.342 c=8.467 alpha=90.00 beta=90.00 gamma=120.00
Element x y z (fractional)
H 0.333 0.667 0.562
Ni 0.667 0.333 0.250
Ni 0.333 0.667 0.750
H 0.667 0.333 0.062
Sn 0.333 0.667 0.250
H 0.667 0.333 0.438
Pr 0.000 0.000 0.000
Pr 0.000 0.000 0.500
Sn 0.667 0.333 0.750
H 0.333 0.667 0.938

Output
Space-group type: P6_3/mmc
Total energy: -21.098 eV/atom
Crystal system: hexagonal
Density of states at the Fermi level: 0.2939 states/eV per atom
Magnetization: 0.000 μB per formula unit


No. 6
Here is a PBEsol-optimized structure of BaW2Cl from the Alexandria database. Energies are from meta-GGA SCAN.

Unit cell a=3.292 b=4.749 c=6.531 alpha=90.00 beta=90.00 gamma=90.35
Element x y z (fractional)
W 0.257 0.184 0.000
Ba 0.000 0.000 0.500
Cl 0.500 0.500 0.500
W 0.743 0.816 0.000

Output
Space-group type: P2/m
Total energy: -46.114 eV/atom
Polymorph energy (0 for the lowest one): 479 meV per atom
Formation energy from raw total energies: 236 kJ/mol of formula units
Crystal system: monoclinic
Density of states at the Fermi level: 0.7785 states/eV per atom
Magnetization: 0.000 μB per formula unit


No. 7
Here is a PBEsol-optimized structure of Sc3GaSi from the Alexandria database. Energies are from meta-GGA SCAN.

Unit cell a=4.908 b=4.908 c=4.908 alpha=90.00 beta=90.00 gamma=90.00
Element x y z (fractional)
Sc 0.000 0.000 0.500
Si 0.000 0.000 0.000
Sc 0.500 0.000 0.000
Sc 0.000 0.500 0.000
Ga 0.500 0.500 0.500

Output
Space-group type: Pm-3m
Total energy: -14.017 eV/atom
Formation energy from raw total energies: -98 kJ/mol of formula units
Crystal system: cubic
Density of states at the Fermi level: 0.7435 states/eV per atom
Magnetization: 0.000 μB per formula unit


No. 8
Here is a PBEsol-optimized structure of AlSbRh4 from the Alexandria database. Energies are from meta-GGA SCAN.

Unit cell a=5.125 b=5.125 c=5.125 alpha=60.00 beta=60.00 gamma=60.00
Element x y z (fractional)
Rh 0.625 0.625 0.125
Sb 0.250 0.250 0.250
Rh 0.625 0.625 0.625
Al 0.000 0.000 0.000
Rh 0.625 0.125 0.625
Rh 0.125 0.625 0.625

Output
Space-group type: F-43m
Total energy: -29.967 eV/atom
Formation energy from raw total energies: 29 kJ/mol of formula units
Crystal system: cubic
Density of states at the Fermi level: 0.6887 states/eV per atom
Magnetization: 0.000 μB per formula unit


No. 9
Here is a PBEsol-optimized structure of SrTcSe3 from the Alexandria database. Energies are from meta-GGA SCAN.

Unit cell a=4.937 b=4.937 c=4.937 alpha=90.00 beta=90.00 gamma=90.00
Each line ends with the local moment (μB).
Element x y z (fractional)
Se 0.500 0.000 0.000  0.16
Tc 0.000 0.000 0.000  2.30
Sr 0.500 0.500 0.500  0.02
Se 0.000 0.500 0.000  0.16
Se 0.000 0.000 0.500  0.16

Output
Space-group type: Pm-3m
Total energy: -24.261 eV/atom
Formation energy from raw total energies: -360 kJ/mol of formula units
Crystal system: cubic
Density of states at the Fermi level: 0.5301 states/eV per atom
Magnetization: 3.274 μB per formula unit


No. 10
Here is a PBEsol-optimized structure of TlGe2Se2 from the Alexandria database. Energies are from meta-GGA SCAN.

Unit cell a=5.128 b=5.128 c=5.866 alpha=115.92 beta=115.92 gamma=90.00
Element x y z (fractional)
Tl 0.000 0.000 0.000
Se 0.250 0.750 0.500
Ge 0.651 0.651 0.301
Ge 0.349 0.349 0.699
Se 0.750 0.250 0.500

Output
Space-group type: I4/mmm
Total energy: -30.212 eV/atom
Formation energy from raw total energies: -35 kJ/mol of formula units
Crystal system: tetragonal
Density of states at the Fermi level: 0.2903 states/eV per atom
Magnetization: 0.000 μB per formula unit


No. 11
Here is a PBEsol-optimized structure of HRhSeN2 from the Alexandria database. Energies are from meta-GGA SCAN.

Unit cell a=3.278 b=3.772 c=3.772 alpha=90.00 beta=90.00 gamma=90.00
Element x y z (fractional)
N 0.000 0.000 0.500
Rh 0.500 0.500 0.500
Se 0.500 0.000 0.000
N 0.000 0.500 0.000
H 0.000 0.000 0.000

Output
Space-group type: P4/mmm
Total energy: -13.233 eV/atom
Crystal system: tetragonal
Density of states at the Fermi level: 0.5538 states/eV per atom
Magnetization: 0.002 μB per formula unit


No. 12
Here is a PBEsol-optimized structure of InCuSe2 from the Alexandria database. Energies are from meta-GGA SCAN.

Unit cell a=5.764 b=5.764 c=7.084 alpha=114.00 beta=114.00 gamma=90.00
Element x y z (fractional)
Cu 0.500 0.500 0.000
Se 0.625 0.591 0.750
In 0.250 0.750 0.500
Cu 0.750 0.250 0.500
Se 0.841 0.375 0.250
Se 0.409 0.875 0.250
In 0.000 0.000 0.000
Se 0.125 0.159 0.750

Output
Space-group type: I-42d
Total energy: -22.678 eV/atom
Formation energy from raw total energies: -190 kJ/mol of formula units
Crystal system: tetragonal
Density of states at the Fermi level: 0.0771 states/eV per atom
Magnetization: 0.000 μB per formula unit